VASP calculation (GGA-PBE) on a relaxed structure of In3BiCl6.

Unit cell a=7.368 b=8.328 c=10.951 alpha=90.00 beta=86.87 gamma=90.00
Fractional positions:
In  0.528  0.931  0.765
In  0.500  0.500  0.000
In  0.472  0.069  0.235
In  0.028  0.569  0.265
In  0.000  0.000  0.500
In  0.972  0.431  0.735
Bi  0.500  0.500  0.500
Bi  0.000  0.000  0.000
Cl  0.687  0.165  0.959
Cl  0.660  0.223  0.578
Cl  0.633  0.435  0.266
Cl  0.367  0.565  0.734
Cl  0.340  0.777  0.422
Cl  0.313  0.835  0.041
Cl  0.187  0.335  0.459
Cl  0.160  0.277  0.078
Cl  0.133  0.065  0.766
Cl  0.867  0.935  0.234
Cl  0.840  0.723  0.922
Cl  0.813  0.665  0.541

Computed properties:
space-group type	P2_1/c
M_tot	0.0	μB per formula unit
uncorrected formation energy	-0.9062	eV/atom